Record 1
# PBE ScAl2Mo2, relaxed
# Distance to the lowest polymorph of the same formula = 0.144 eV/atom
# Mass density = 5.6 g cm⁻³
# DFT total energy = -7.18 eV/atom
# E_form = -0.088 eV per atom
data_ScAl2Mo2
_cell_length_a 7.946
_cell_length_b 7.946
_cell_length_c 2.749
_cell_angle_alpha 90.00
_cell_angle_beta 90.00
_cell_angle_gamma 90.00
_space_group_name_H-M_alt 'P 1'
_space_group_IT_number 1
loop_
_space_group_symop_operation_xyz
'x,y,z'
loop_
_atom_site_label
_atom_site_fract_x
_atom_site_fract_y
_atom_site_fract_z
Sc1 0.000 0.000 0.000
Sc2 0.500 0.500 0.000
Al1 0.182 0.318 0.500
Al2 0.318 0.818 0.500
Al3 0.682 0.182 0.500
Al4 0.818 0.682 0.500
Mo1 0.114 0.614 0.000
Mo2 0.386 0.114 0.000
Mo3 0.614 0.886 0.000
Mo4 0.886 0.386 0.000

=====

Record 2
# PBE KPr2SeO5, relaxed
# Formation energy from raw total energies = -2033 meV per atom
# Mass density = 5.4 g cm⁻³
# DFT total energy = -6.36 eV/atom
data_KPr2SeO5
_cell_length_a 7.851
_cell_length_b 7.851
_cell_length_c 7.851
_cell_angle_alpha 127.59
_cell_angle_beta 127.59
_cell_angle_gamma 77.28
_space_group_name_H-M_alt 'P 1'
_space_group_IT_number 1
loop_
_space_group_symop_operation_xyz
'x,y,z'
loop_
_atom_site_label
_atom_site_fract_x
_atom_site_fract_y
_atom_site_fract_z
K1 0.250 0.250 0.000
K2 0.750 0.750 0.000
Pr1 0.176 0.676 0.852
Pr2 0.324 0.176 0.500
Pr3 0.676 0.824 0.500
Pr4 0.824 0.324 0.148
Se1 0.250 0.750 0.500
Se2 0.750 0.250 0.500
O1 0.000 0.000 0.000
O2 0.014 0.247 0.500
O3 0.247 0.747 0.233
O4 0.253 0.486 0.500
O5 0.486 0.986 0.233
O6 0.500 0.500 0.000
O7 0.514 0.014 0.767
O8 0.747 0.514 0.500
O9 0.753 0.253 0.767
O10 0.986 0.753 0.500

=====

Record 3
# PBE LaMg2Ni2, relaxed
# Distance to the lowest polymorph of the same formula = 0.023 eV/atom
# Mass density = 5.1 g cm⁻³
# DFT total energy = -4.17 eV/atom
# E_form = -0.235 eV per atom
data_LaMg2Ni2
_cell_length_a 6.586
_cell_length_b 6.586
_cell_length_c 6.586
_cell_angle_alpha 143.90
_cell_angle_beta 143.90
_cell_angle_gamma 51.98
_space_group_name_H-M_alt 'P 1'
_space_group_IT_number 1
loop_
_space_group_symop_operation_xyz
'x,y,z'
loop_
_atom_site_label
_atom_site_fract_x
_atom_site_fract_y
_atom_site_fract_z
La1 0.000 0.000 0.000
Mg1 0.250 0.750 0.500
Mg2 0.750 0.250 0.500
Ni1 0.399 0.399 0.000
Ni2 0.601 0.601 0.000

=====

Record 4
# PBE Zr2TcAuS, relaxed
# Formation energy from raw total energies = 1117 meV per atom
# Mass density = 6.4 g cm⁻³
# DFT total energy = -5.86 eV/atom
data_Zr2TcAuS
_cell_length_a 5.170
_cell_length_b 5.170
_cell_length_c 4.915
_cell_angle_alpha 90.00
_cell_angle_beta 90.00
_cell_angle_gamma 90.00
_space_group_name_H-M_alt 'P 1'
_space_group_IT_number 1
loop_
_space_group_symop_operation_xyz
'x,y,z'
loop_
_atom_site_label
_atom_site_fract_x
_atom_site_fract_y
_atom_site_fract_z
Zr1 0.000 0.500 0.000
Zr2 0.500 0.000 0.000
Tc1 0.000 0.000 0.500
Au1 0.000 0.000 0.000
S1 0.500 0.500 0.500

=====

Record 5
# PBE NaZrTe3Au, relaxed
# Formation energy from raw total energies = -717 meV per atom
# Mass density = 6.7 g cm⁻³
# DFT total energy = -4.48 eV/atom
data_NaZrTe3Au
_cell_length_a 8.340
_cell_length_b 4.144
_cell_length_c 10.371
_cell_angle_alpha 90.00
_cell_angle_beta 107.35
_cell_angle_gamma 90.00
_space_group_name_H-M_alt 'P 1'
_space_group_IT_number 1
loop_
_space_group_symop_operation_xyz
'x,y,z'
loop_
_atom_site_label
_atom_site_fract_x
_atom_site_fract_y
_atom_site_fract_z
Na1 0.243 0.250 0.281
Na2 0.757 0.750 0.719
Zr1 0.304 0.750 0.819
Zr2 0.696 0.250 0.181
Te1 0.075 0.250 0.861
Te2 0.287 0.750 0.538
Te3 0.429 0.750 0.128
Te4 0.571 0.250 0.872
Te5 0.713 0.250 0.462
Te6 0.925 0.750 0.139
Au1 0.092 0.250 0.602
Au2 0.908 0.750 0.398

=====

Record 6
# PBE Ba3Sb4O, relaxed
# Formation energy from raw total energies = -1181 meV per atom
# Mass density = 5.4 g cm⁻³
# DFT total energy = -4.58 eV/atom
data_Ba3Sb4O
_cell_length_a 7.120
_cell_length_b 13.231
_cell_length_c 12.946
_cell_angle_alpha 90.00
_cell_angle_beta 112.22
_cell_angle_gamma 90.00
_space_group_name_H-M_alt 'P 1'
_space_group_IT_number 1
loop_
_space_group_symop_operation_xyz
'x,y,z'
loop_
_atom_site_label
_atom_site_fract_x
_atom_site_fract_y
_atom_site_fract_z
Ba1 0.109 0.047 0.216
Ba2 0.109 0.453 0.716
Ba3 0.297 0.557 0.050
Ba4 0.297 0.943 0.550
Ba5 0.304 0.241 0.976
Ba6 0.304 0.259 0.476
Ba7 0.696 0.741 0.524
Ba8 0.696 0.759 0.024
Ba9 0.703 0.057 0.450
Ba10 0.703 0.443 0.950
Ba11 0.891 0.547 0.284
Ba12 0.891 0.953 0.784
Sb1 0.147 0.157 0.685
Sb2 0.147 0.343 0.185
Sb3 0.206 0.735 0.767
Sb4 0.206 0.765 0.267
Sb5 0.226 0.663 0.562
Sb6 0.226 0.837 0.062
Sb7 0.431 0.024 0.852
Sb8 0.431 0.476 0.352
Sb9 0.569 0.524 0.648
Sb10 0.569 0.976 0.148
Sb11 0.774 0.163 0.938
Sb12 0.774 0.337 0.438
Sb13 0.794 0.235 0.733
Sb14 0.794 0.265 0.233
Sb15 0.853 0.657 0.815
Sb16 0.853 0.843 0.315
O1 0.331 0.082 0.416
O2 0.331 0.418 0.916
O3 0.669 0.582 0.084
O4 0.669 0.918 0.584